1.
Mo2OsBr | PBE | optimized geometry

The space group is I4/mmm (No. 139) and the conventional cell measures 3.8365, 3.8365 and 8.7412 Å, with angles of 90.00, 90.00 and 90.00 degrees. The asymmetric unit holds Mo at (0.0000, 0.5000, 0.2500), Os at (0.0000, 0.0000, 0.0000) and Br at (0.0000, 0.0000, 0.5000).

The energy relative to the elements, uncorrected is 108 kJ/mol of atoms. Its density is 11.93 Mg/m³. The total DFT energy (no corrections) is -7.517 eV per atom.

***

2.
MgFeOs | PBE | optimized geometry

The space group is Pnma (No. 62) and the conventional cell measures 6.6057, 4.0239 and 6.8244 Å, with angles of 90.00, 90.00 and 90.00 degrees. The asymmetric unit holds Mg at (0.0118, 0.2500, 0.1735), Fe at (0.1866, 0.7500, 0.3975) and Os at (0.1642, 0.2500, 0.5844).

Its density is 9.90 Mg/m³. The formation energy comes out at 191 meV/atom. The total DFT energy (no corrections) is -6.905 eV per atom.

***

3.
NbFeSbI2 | PBE | optimized geometry

The space group is P4/mmm (No. 123) and the conventional cell measures 5.5300, 5.5300 and 5.5057 Å, with angles of 90.00, 90.00 and 90.00 degrees. The asymmetric unit holds Nb at (0.0000, 0.0000, 0.0000), Fe at (0.5000, 0.5000, 0.5000), Sb at (0.0000, 0.0000, 0.5000) and I at (0.0000, 0.5000, 0.0000).

The energy relative to the elements, uncorrected is 87 kJ/mol of atoms. Its density is 5.17 Mg/m³. The total DFT energy (no corrections) is -4.252 eV per atom.

***

4.
CaNpGa2 | PBE | optimized geometry

The space group is P4/mmm (No. 123) and the conventional cell measures 5.3877, 5.3877 and 3.1391 Å, with angles of 90.00, 90.00 and 90.00 degrees. The asymmetric unit holds Ca at (0.0000, 0.0000, 0.0000), Np at (0.5000, 0.5000, 0.0000) and Ga at (0.0000, 0.5000, 0.5000).

Its density is 7.59 Mg/m³. The formation energy comes out at -147 meV/atom. The total DFT energy (no corrections) is -5.396 eV per atom.

***

Question: Which formula does entry 4 have?
Answer: CaNpGa2

***

Question: Which value of density does entry 4 give?
Answer: 7.59 Mg/m³